Entry 1:
Compound: DyTmBr
Source: the Alexandria database
Functional: PBE
Structure: optimized geometry

crystal system = trigonal
energy above the most stable polymorph in this dataset = 0.0 meV/atom

Cell: 3.6880 3.6880 7.2272 Å, 90.00 90.00 120.00°
Fractional positions:
Dy 0.0000 0.0000 0.0000
Tm 0.6667 0.3333 0.3611
Br 0.3333 0.6667 0.6778

---

Entry 2:
Compound: DyTm2Br
Source: the Alexandria database
Functional: PBE
Structure: optimized geometry

crystal system = trigonal
energy = -3.97 eV/atom

Cell: 3.4560 3.4560 34.2881 Å, 90.00 90.00 120.00°
Fractional positions:
Dy 0.0000 0.0000 0.0000
Dy 0.3333 0.6667 0.6667
Dy 0.6667 0.3333 0.3333
Tm 0.0000 0.0000 0.0979
Tm 0.0000 0.0000 0.9021
Tm 0.3333 0.6667 0.5688
Tm 0.3333 0.6667 0.7646
Tm 0.6667 0.3333 0.2354
Tm 0.6667 0.3333 0.4312
Br 0.0000 0.0000 0.5000
Br 0.3333 0.6667 0.1667
Br 0.6667 0.3333 0.8333

---

Entry 3:
Compound: DyTmBr
Source: the Alexandria database
Functional: PBE
Structure: optimized geometry

crystal system = orthorhombic
energy above the most stable polymorph in this dataset = 112.6 meV/atom

Cell: 3.4943 5.5288 8.6953 Å, 90.00 90.00 90.00°
Fractional positions:
Dy 0.2500 0.2500 0.2030
Dy 0.7500 0.7500 0.7970
Tm 0.2500 0.2500 0.5850
Tm 0.7500 0.7500 0.4150
Br 0.2500 0.7500 0.0966
Br 0.7500 0.2500 0.9034

---

Entry 4:
Compound: DyUBr6
Source: the Alexandria database
Functional: PBE
Structure: optimized geometry

crystal system = trigonal
energy above the most stable polymorph in this dataset = 14.3 meV/atom

Cell: 7.7591 7.7591 7.7591 Å, 55.16 55.16 55.16°
Fractional positions:
Dy 0.0000 0.0000 0.0000
U 0.5000 0.5000 0.5000
Br 0.0900 0.3995 0.7559
Br 0.2441 0.9100 0.6005
Br 0.3995 0.7559 0.0900
Br 0.6005 0.2441 0.9100
Br 0.7559 0.0900 0.3995
Br 0.9100 0.6005 0.2441